Entry 1:
# Tc2NiAg (PBE-GGA, optimized geometry)
data_Tc2NiAg
_chemical_formula_sum 'Tc2 Ni1 Ag1'
_symmetry_space_group_name_H-M 'P 1'
_symmetry_Int_Tables_number 1
_symmetry_space_group_name_Hall 'P 1'
_cell_length_a 9.102
_cell_length_b 9.102
_cell_length_c 9.102
_cell_angle_alpha 17.34
_cell_angle_beta 17.34
_cell_angle_gamma 17.34
loop_
_atom_site_label
_atom_site_fract_x
_atom_site_fract_y
_atom_site_fract_z
_atom_site_occupancy
Tc1 0.001 0.001 0.001 1
Tc2 0.257 0.257 0.257 1
Ni1 0.746 0.746 0.746 1
Ag1 0.496 0.496 0.496 1
# - Excess energy over the best structure of this formula in the dataset: 0.0 meV/atom
# - ΔH_f (0 K): 72 kJ/mol of formula units
# - Energy: -28.6 eV per cell
# - Fermi-level density of states: 0.895 states/eV/atom

Entry 2:
# La8Sm2Ho (PBE-GGA, optimized geometry)
data_La8Sm2Ho
_chemical_formula_sum 'La8 Sm2 Ho1'
_symmetry_space_group_name_H-M 'P 1'
_symmetry_Int_Tables_number 1
_symmetry_space_group_name_Hall 'P 1'
_cell_length_a 5.239
_cell_length_b 8.261
_cell_length_c 9.755
_cell_angle_alpha 104.63
_cell_angle_beta 105.58
_cell_angle_gamma 90.00
loop_
_atom_site_label
_atom_site_fract_x
_atom_site_fract_y
_atom_site_fract_z
_atom_site_occupancy
La1 0.409 0.548 0.819 1
La2 0.319 0.088 0.638 1
La3 0.954 0.272 0.907 1
La4 0.046 0.728 0.093 1
La5 0.681 0.912 0.362 1
La6 0.137 0.183 0.273 1
La7 0.863 0.817 0.727 1
La8 0.591 0.452 0.181 1
Ho1 0.500 0.000 0.000 1
Sm1 0.774 0.365 0.547 1
Sm2 0.226 0.635 0.453 1
# - Excess energy over the best structure of this formula in the dataset: 0.0 meV/atom
# - ΔH_f (0 K): 18 kJ/mol of formula units
# - Energy: -53.3 eV per cell
# - Fermi-level density of states: 1.784 states/eV/atom

Entry 3:
# LaCrPb2 (PBE-GGA, optimized geometry)
data_LaCrPb2
_chemical_formula_sum 'La1 Cr1 Pb2'
_symmetry_space_group_name_H-M 'P 1'
_symmetry_Int_Tables_number 1
_symmetry_space_group_name_Hall 'P 1'
_cell_length_a 10.045
_cell_length_b 10.045
_cell_length_c 10.045
_cell_angle_alpha 20.54
_cell_angle_beta 20.54
_cell_angle_gamma 20.54
loop_
_atom_site_label
_atom_site_fract_x
_atom_site_fract_y
_atom_site_fract_z
_atom_site_occupancy
Pb1 0.988 0.988 0.988 1
Pb2 0.512 0.512 0.512 1
Cr1 0.250 0.250 0.250 1
La1 0.750 0.750 0.750 1
# - ΔH_f (0 K): 64 kJ/mol of formula units
# - Energy: -21.3 eV per cell
# - Fermi-level density of states: 0.808 states/eV/atom

Entry 4:
# BaInPF (PBE-GGA, optimized geometry)
data_BaInPF
_chemical_formula_sum 'Ba2 In2 P2 F2'
_symmetry_space_group_name_H-M 'P 1'
_symmetry_Int_Tables_number 1
_symmetry_space_group_name_Hall 'P 1'
_cell_length_a 4.813
_cell_length_b 4.813
_cell_length_c 8.524
_cell_angle_alpha 90.00
_cell_angle_beta 90.00
_cell_angle_gamma 90.00
loop_
_atom_site_label
_atom_site_fract_x
_atom_site_fract_y
_atom_site_fract_z
_atom_site_occupancy
P1 0.500 0.000 0.155 1
P2 0.000 0.500 0.845 1
Ba1 0.000 0.500 0.351 1
Ba2 0.500 0.000 0.649 1
F1 0.500 0.500 0.500 1
F2 0.000 0.000 0.500 1
In1 0.000 0.000 0.000 1
In2 0.500 0.500 0.000 1
# - Energy relative to the elements, uncorrected: -637 kJ/mol of formula units
# - Energy: -37.1 eV per cell
# - Fermi-level density of states: 0.348 states/eV/atom